DFT (PBE) results for a geometry-optimized Sc2TlTc structure.

a b c (Å): 4.8066 4.8066 4.8066
angles (deg): 60.00 60.00 60.00
With the nearest neighbours (Å) after each atom.
Positions (direct):
1 Sc 0.2500 0.2500 0.2500  4 Tl 2.94, 4 Tc 2.94
2 Sc 0.7500 0.7500 0.7500  4 Tl 2.94, 4 Tc 2.94
3 Tc 0.0000 0.0000 0.0000  8 Sc 2.94
4 Tl 0.5000 0.5000 0.5000  8 Sc 2.94

Output
Calculated density in g/cm³: 8.30
ΔH_f (0 K) in kJ/mol of atoms: -17.4
Relative energy among the computed polymorphs in meV per atom: 120
SG: Fm-3m (225)


DFT (PBE) results for a geometry-optimized KTl4Bi structure.

a b c (Å): 4.8849 8.2636 6.1720
angles (deg): 104.01 67.09 72.59
With the nearest neighbours (Å) after each atom.
Positions (direct):
1 Bi 0.0000 0.0000 0.0000  10 Tl 3.36-3.64
2 Tl 0.1585 0.1654 0.5142  6 Tl 3.43-3.53, 3 Bi 3.50-3.64, 2 K 3.61-3.63
3 Tl 0.3641 0.2871 0.9809  2 Bi 3.36, 4 Tl 3.43-3.53, 3 K 3.66-3.75
4 Tl 0.6359 0.7129 0.0191  2 Bi 3.36, 4 Tl 3.43-3.53, 3 K 3.66-3.75
5 Tl 0.8415 0.8346 0.4858  6 Tl 3.43-3.53, 3 Bi 3.50-3.64, 2 K 3.61-3.63
6 K 0.5000 0.5000 0.5000  10 Tl 3.61-3.75, 2 Bi 3.81

Output
Calculated density in g/cm³: 8.85
ΔH_f (0 K) in kJ/mol of atoms: -9.5
Relative energy among the computed polymorphs in meV per atom: 0
SG: P-1 (2)


DFT (PBE) results for a geometry-optimized TbErRe4 structure.

a b c (Å): 5.4147 5.4147 5.4147
angles (deg): 60.00 60.00 60.00
With the nearest neighbours (Å) after each atom.
Positions (direct):
1 Re 0.6250 0.1249 0.6250  6 Re 2.71
2 Re 0.1249 0.6250 0.6250  6 Re 2.71
3 Re 0.6250 0.6250 0.6250  6 Re 2.71
4 Re 0.6250 0.6250 0.1249  6 Re 2.71
5 Er 0.0000 0.0000 0.0000  12 Re 3.17, 4 Tb 3.32
6 Tb 0.2500 0.2500 0.2500  12 Re 3.17, 4 Er 3.32

Output
Calculated density in g/cm³: 15.84
ΔH_f (0 K) in kJ/mol of atoms: -17.9
SG: F-43m (216)


DFT (PBE) results for a geometry-optimized SrTlMo2 structure.

a b c (Å): 5.9190 5.9190 5.9190
angles (deg): 145.06 131.94 60.78
With the nearest neighbours (Å) after each atom.
Positions (direct):
1 Sr 0.7500 0.2500 0.5000  4 Tl 2.99, 4 Mo 3.22
2 Mo 0.0126 0.0126 0.0000  4 Mo 3.01, 2 Tl 3.01, 2 Sr 3.22
3 Mo 0.4874 0.4874 0.0000  4 Mo 3.01, 2 Tl 3.01, 2 Sr 3.22
4 Tl 0.2500 0.7500 0.5000  4 Sr 2.99, 4 Mo 3.01

Output
Calculated density in g/cm³: 9.19
ΔH_f (0 K) in kJ/mol of atoms: 102.2
Relative energy among the computed polymorphs in meV per atom: 675
SG: Immm (71)


DFT (PBE) results for a geometry-optimized Bi2O3 structure.

a b c (Å): 3.8815 3.8815 6.0254
angles (deg): 90.00 90.00 120.00
With the nearest neighbours (Å) after each atom.
Positions (direct):
1 O 0.6667 0.3333 0.3682  4 Bi 2.34-2.36
2 O 0.0000 0.0000 0.0000  6 Bi 2.68
3 O 0.3333 0.6667 0.6318  4 Bi 2.34-2.36
4 Bi 0.3333 0.6667 0.2440  4 O 2.34-2.36
5 Bi 0.6667 0.3333 0.7560  4 O 2.34-2.36

Output
Raw formation energy in eV/f.u.: -5.78
Calculated density in g/cm³: 9.84
SG: P-3m1 (164)


DFT (PBE) results for a geometry-optimized Y2Pd2Pt structure.

a b c (Å): 7.4272 7.4272 3.7671
angles (deg): 90.00 90.00 90.00
With the nearest neighbours (Å) after each atom.
Positions (direct):
1 Pd 0.8715 0.6285 0.0000  1 Pd 2.70, 6 Y 2.77-2.98, 2 Pt 2.92
2 Pd 0.6285 0.1285 0.0000  1 Pd 2.70, 6 Y 2.77-2.98, 2 Pt 2.92
3 Pd 0.1285 0.3715 0.0000  1 Pd 2.70, 6 Y 2.77-2.98, 2 Pt 2.92
4 Pd 0.3715 0.8715 0.0000  1 Pd 2.70, 6 Y 2.77-2.98, 2 Pt 2.92
5 Y 0.1782 0.6782 0.5000  6 Pd 2.77-2.98
6 Y 0.3218 0.1782 0.5000  6 Pd 2.77-2.98
7 Y 0.6782 0.8218 0.5000  6 Pd 2.77-2.98
8 Y 0.8218 0.3218 0.5000  6 Pd 2.77-2.98
9 Pt 0.5000 0.5000 0.0000  4 Pd 2.92
10 Pt 0.0000 0.0000 0.0000  4 Pd 2.92

Output
Calculated density in g/cm³: 9.36
ΔH_f (0 K) in kJ/mol of atoms: -88.0
Relative energy among the computed polymorphs in meV per atom: 0
SG: P4/mbm (127)


Question: Look up the calculated density of the fifth one.
Answer: 9.84 g/cm³


Question: Which formula does entry 3 have?
Answer: TbErRe4


Question: The lowest calculated density belongs to which entry?
Answer: Sc2TlTc


Question: Which value of calculated density does entry 2 give?
Answer: 8.85 g/cm³